No. 1
DFT (PBE) results for an optimized crystal structure of Pr3WN5.

Cell lengths 6.8958, 6.8958, 7.6302 Å; angles 116.86, 116.86, 90.00 degrees
Fractional positions:
Pr: 0.6782 0.1782 0.0000
Pr: 0.3218 0.8218 0.0000
Pr: 0.8218 0.6782 0.0000
Pr: 0.1782 0.3218 0.0000
Pr: 0.2500 0.2500 0.5000
Pr: 0.7500 0.7500 0.5000
W: 0.7500 0.2500 0.5000
W: 0.2500 0.7500 0.5000
N: 0.9996 0.4996 0.6953
N: 0.6957 0.1957 0.6953
N: 0.1957 0.9996 0.6953
N: 0.4996 0.6957 0.6953
N: 0.0004 0.5004 0.3047
N: 0.3043 0.8043 0.3047
N: 0.8043 0.0004 0.3047
N: 0.5004 0.3043 0.3047
N: 0.5000 0.5000 0.0000
N: 0.0000 0.0000 0.0000

Values from the calculation:
Space-group type ... I4/mcm


No. 2
DFT (PBE) results for an optimized crystal structure of Pr3WN6.

Cell lengths 5.5999, 7.8694, 7.8694 Å; angles 102.47, 90.00, 90.00 degrees
Fractional positions:
Pr: 0.4739 0.9198 0.7035
Pr: 0.9739 0.7035 0.9198
Pr: 0.4458 0.3926 0.6074
Pr: 0.9458 0.6074 0.3926
Pr: 0.9739 0.0802 0.2965
Pr: 0.4739 0.2965 0.0802
W: 0.0154 0.1973 0.8027
W: 0.5154 0.8027 0.1973
N: 0.2159 0.6671 0.6518
N: 0.7159 0.6518 0.6671
N: 0.1668 0.4110 0.8874
N: 0.6668 0.8874 0.4110
N: 0.1353 0.0553 0.9447
N: 0.6756 0.2103 0.7897
N: 0.1756 0.7897 0.2103
N: 0.6353 0.9447 0.0553
N: 0.1668 0.1126 0.5890
N: 0.6668 0.5890 0.1126
N: 0.2159 0.3482 0.3329
N: 0.7159 0.3329 0.3482

Values from the calculation:
Space-group type ... Cmc2_1


No. 3
DFT (PBE) results for an optimized crystal structure of Pr2WN3.

Cell lengths 3.5847, 4.0128, 7.0128 Å; angles 106.62, 104.81, 90.00 degrees
Fractional positions:
Pr: 0.6478 0.6478 0.2956
Pr: 0.3522 0.3522 0.7044
W: 0.0000 0.0000 0.0000
N: 0.0000 0.5000 0.0000
N: 0.8430 0.8430 0.6861
N: 0.1570 0.1570 0.3139

Values from the calculation:
Space-group type ... Immm


No. 4
DFT (PBE) results for an optimized crystal structure of PrY2WN4.

Cell lengths 3.4409, 6.2199, 12.0209 Å; angles 90.00, 90.00, 106.06 degrees
Fractional positions:
Pr: 0.0882 0.1763 0.7500
Pr: 0.9118 0.8237 0.2500
Y: 0.3706 0.7412 0.5382
Y: 0.6294 0.2588 0.0382
Y: 0.6294 0.2588 0.4618
Y: 0.3706 0.7412 0.9618
W: 0.8306 0.6611 0.7500
W: 0.1694 0.3389 0.2500
N: 0.2620 0.5241 0.1206
N: 0.7380 0.4759 0.6206
N: 0.7380 0.4759 0.8794
N: 0.2620 0.5241 0.3794
N: 0.0000 0.0000 0.5000
N: 0.0000 0.0000 0.0000
N: 0.4282 0.8564 0.7500
N: 0.5718 0.1436 0.2500

Values from the calculation:
Space-group type ... Cmcm


No. 5
DFT (PBE) results for an optimized crystal structure of Pr4YN5.

Cell lengths 5.2282, 6.3136, 6.3136 Å; angles 80.13, 65.54, 65.54 degrees
Fractional positions:
Pr: 0.4115 0.3996 0.8024
Pr: 0.8110 0.8024 0.6004
Pr: 0.2138 0.1976 0.3996
Pr: 0.6134 0.6004 0.1976
Y: 0.0188 0.0000 0.0000
N: 0.8948 0.3899 0.8052
N: 0.2847 0.8052 0.6101
N: 0.7000 0.1948 0.3899
N: 0.0899 0.6101 0.1948
N: 0.4723 0.0000 0.0000

Values from the calculation:
Space-group type ... I4


No. 6
DFT (PBE) results for an optimized crystal structure of Pr2YN3.

Cell lengths 3.6301, 3.6301, 8.1107 Å; angles 102.93, 102.93, 89.99 degrees
Fractional positions:
Pr: 0.0971 0.0989 0.1999
Pr: 0.7711 0.7730 0.5480
Y: 0.4343 0.4357 0.8740
N: 0.9341 0.9358 0.8740
N: 0.2747 0.2757 0.5547
N: 0.5940 0.5950 0.1932

Values from the calculation:
Space-group type ... I4/mmm


Number 1: raw formation energy -961 kJ/mol of formula units, ρ 8.05 Mg/m³. Number 2: raw formation energy -642 kJ/mol of formula units, ρ 6.77 Mg/m³. Number 3: raw formation energy -617 kJ/mol of formula units, ρ 9.05 Mg/m³. Number 4: raw formation energy -849 kJ/mol of formula units, ρ 7.50 Mg/m³. Number 5: raw formation energy -1303 kJ/mol of formula units, ρ 6.95 Mg/m³. Number 6: raw formation energy -804 kJ/mol of formula units, ρ 6.76 Mg/m³.